Entry 1:
Entry from Alexandria via LeMat-Bulk: crystalline La3SmMg4 at its relaxed geometry (PBE).

a = 3.934 Å, b = 3.934 Å, c = 15.767 Å
α = 90.00°, β = 90.00°, γ = 90.00°
Fractional positions:
1 La 0.000 0.000 0.000
2 La 0.000 0.000 0.255
3 La 0.000 0.000 0.745
4 Sm 0.000 0.000 0.500
5 Mg 0.500 0.500 0.127
6 Mg 0.500 0.500 0.383
7 Mg 0.500 0.500 0.617
8 Mg 0.500 0.500 0.873

Properties
energy of formation from the pure elements = -108 meV per atom
size of the total moment = 0.00 μB per formula unit
SG = No. 123
crystal system = tetragonal
energy = -26.7 eV/cell

---

Entry 2:
Entry from Alexandria via LeMat-Bulk: crystalline La6Sm3Mg at its relaxed geometry (PBE).

a = 10.830 Å, b = 10.830 Å, c = 6.244 Å
α = 90.00°, β = 90.00°, γ = 73.60°
Fractional positions:
1 La 0.051 0.949 0.500
2 La 0.062 0.615 0.296
3 La 0.188 0.812 0.976
4 La 0.248 0.421 0.818
5 La 0.385 0.938 0.296
6 La 0.421 0.248 0.318
7 La 0.579 0.752 0.818
8 La 0.615 0.062 0.796
9 La 0.752 0.579 0.318
10 La 0.812 0.188 0.476
11 La 0.938 0.385 0.796
12 La 0.949 0.051 0.000
13 Sm 0.100 0.268 0.288
14 Sm 0.268 0.100 0.788
15 Sm 0.333 0.667 0.562
16 Sm 0.667 0.333 0.062
17 Sm 0.732 0.900 0.288
18 Sm 0.900 0.732 0.788
19 Mg 0.428 0.572 0.098
20 Mg 0.572 0.428 0.598

Properties
energy of formation from the pure elements = 121 meV per atom
size of the total moment = 0.00 μB per formula unit
SG = No. 36
crystal system = orthorhombic
energy = -88.2 eV/cell

---

Entry 3:
Entry from Alexandria via LeMat-Bulk: crystalline LaSmMg at its relaxed geometry (PBE).

a = 6.764 Å, b = 6.764 Å, c = 6.764 Å
α = 125.43°, β = 125.43°, γ = 80.83°
Fractional positions:
1 La 0.000 0.000 0.000
2 La 0.750 0.250 0.500
3 Sm 0.398 0.898 0.500
4 Sm 0.648 0.648 0.000
5 Mg 0.084 0.584 0.500
6 Mg 0.334 0.334 0.000

Properties
energy above the most stable polymorph in this dataset = 318.1 meV/atom
energy of formation from the pure elements = 267 meV per atom
size of the total moment = 0.00 μB per formula unit
SG = No. 109
crystal system = tetragonal
energy = -20.9 eV/cell

---

Entry 4:
Entry from Alexandria via LeMat-Bulk: crystalline La15SmMg4 at its relaxed geometry (PBE).

a = 5.150 Å, b = 5.150 Å, c = 25.707 Å
α = 90.00°, β = 90.00°, γ = 90.00°
Fractional positions:
1 La 0.000 0.000 0.000
2 La 0.000 0.000 0.201
3 La 0.000 0.000 0.401
4 La 0.000 0.000 0.599
5 La 0.000 0.000 0.799
6 La 0.000 0.500 0.102
7 La 0.000 0.500 0.301
8 La 0.000 0.500 0.500
9 La 0.000 0.500 0.699
10 La 0.000 0.500 0.898
11 La 0.500 0.000 0.102
12 La 0.500 0.000 0.301
13 La 0.500 0.000 0.500
14 La 0.500 0.000 0.699
15 La 0.500 0.000 0.898
16 Sm 0.500 0.500 0.000
17 Mg 0.500 0.500 0.203
18 Mg 0.500 0.500 0.401
19 Mg 0.500 0.500 0.599
20 Mg 0.500 0.500 0.797

Properties
energy of formation from the pure elements = -14 meV per atom
size of the total moment = 0.00 μB per formula unit
SG = No. 123
crystal system = tetragonal
energy = -85.3 eV/cell

---

Entry 5:
Entry from Alexandria via LeMat-Bulk: crystalline La2Sm6Mg at its relaxed geometry (PBE).

a = 11.495 Å, b = 11.495 Å, c = 6.824 Å
α = 96.61°, β = 96.61°, γ = 135.04°
Fractional positions:
1 La 0.035 0.758 0.936
2 La 0.242 0.965 0.564
3 La 0.758 0.035 0.436
4 La 0.965 0.242 0.064
5 Sm 0.094 0.503 0.727
6 Sm 0.161 0.205 0.682
7 Sm 0.205 0.161 0.182
8 Sm 0.390 0.558 0.482
9 Sm 0.442 0.610 0.018
10 Sm 0.497 0.906 0.773
11 Sm 0.503 0.094 0.227
12 Sm 0.558 0.390 0.982
13 Sm 0.610 0.442 0.518
14 Sm 0.795 0.839 0.818
15 Sm 0.839 0.795 0.318
16 Sm 0.906 0.497 0.273
17 Mg 0.283 0.717 0.250
18 Mg 0.717 0.283 0.750

Properties
energy above the most stable polymorph in this dataset = 17.7 meV/atom
energy of formation from the pure elements = 88 meV per atom
size of the total moment = 0.00 μB per formula unit
SG = No. 15
crystal system = monoclinic
energy = -77.9 eV/cell

---

Entry 6:
Entry from Alexandria via LeMat-Bulk: crystalline La9Sm2Mg at its relaxed geometry (PBE).

a = 5.195 Å, b = 5.195 Å, c = 15.683 Å
α = 90.00°, β = 90.00°, γ = 90.00°
Fractional positions:
1 La 0.000 0.000 0.000
2 La 0.000 0.000 0.332
3 La 0.000 0.000 0.668
4 La 0.000 0.500 0.164
5 La 0.000 0.500 0.500
6 La 0.000 0.500 0.836
7 La 0.500 0.000 0.164
8 La 0.500 0.000 0.500
9 La 0.500 0.000 0.836
10 Sm 0.500 0.500 0.330
11 Sm 0.500 0.500 0.670
12 Mg 0.500 0.500 0.000

Properties
energy of formation from the pure elements = -1 meV per atom
size of the total moment = 0.00 μB per formula unit
SG = No. 123
crystal system = tetragonal
energy = -55.4 eV/cell